Entry 1:
{"formula": "RuSe2", "functional": "PBE", "state": "relaxed", "lattice": [[3.438, -5.955, 0.000], [3.438, 5.955, 0.000], [0.000, 0.000, 3.852]], "species": ["Se", "Ru", "Ru", "Ru", "Se", "Se", "Se", "Se", "Se"], "fractional_positions": [[0.601, 0.000, 0.500], [0.000, 0.000, 0.500], [0.667, 0.333, 0.000], [0.333, 0.667, 0.000], [0.000, 0.601, 0.500], [0.000, 0.266, 0.000], [0.399, 0.399, 0.500], [0.734, 0.734, 0.000], [0.266, 0.000, 0.000]], "space_group": "No. 189", "energy_ev_per_atom": -5.28}

---

Entry 2:
{"formula": "RuSe3", "functional": "PBE", "state": "relaxed", "lattice": [[-3.178, 5.007, 2.061], [-6.254, 0.011, 0.558], [5.465, -2.633, 1.622]], "species": ["Ru", "Se", "Se", "Se"], "fractional_positions": [[0.962, 0.000, 0.962], [0.273, 0.643, 0.630], [0.612, 0.500, 0.112], [0.986, 0.357, 0.630]], "space_group": "No. 44", "relative_energy_mev_per_atom": 106, "energy_ev_per_atom": -4.90}

---

| no. | E_form (uncorrected) (eV per atom) | N(E_F) (states/eV/atom) |
| --- | --- | --- |
| 1 | 0.132 | 0.50 |
| 2 | 0.037 | 0.97 |